Entry 1:
# Sr2SmSb4Pt3, optimized geometry, DFT PBE-GGA
# raw total energy: -5.10 eV/atom
data_Sr2SmSb4Pt3
_symmetry_space_group_name_H-M 'P -4 m 2'
_symmetry_Int_Tables_number 115
_cell_length_a 4.675
_cell_length_b 4.675
_cell_length_c 11.954
_cell_angle_alpha 90.00
_cell_angle_beta 90.00
_cell_angle_gamma 90.00
loop_
_symmetry_equiv_pos_as_xyz
'x,y,z'
'y,-x,-z'
'-x,-y,z'
'-y,x,-z'
'-x,y,z'
'-y,-x,-z'
'x,-y,z'
'y,x,-z'
loop_
_atom_site_label
_atom_site_fract_x
_atom_site_fract_y
_atom_site_fract_z
_atom_site_occupancy
Sr1 0.000 0.500 0.233 1
Sm1 0.000 0.000 0.500 1
Sb1 0.000 0.000 0.000 1
Sb2 0.000 0.500 0.658 1
Sb3 0.500 0.500 0.000 1
Pt1 0.000 0.500 0.883 1
Pt2 0.500 0.500 0.500 1


Entry 2:
# BaCuIr, optimized geometry, DFT PBE-GGA
# relative energy among the computed polymorphs: 0.5938 eV/atom
# formation enthalpy at 0 K: 151.8 kJ/mol of formula units
data_BaCuIr
_symmetry_space_group_name_H-M 'F -4 3 m'
_symmetry_Int_Tables_number 216
_symmetry_space_group_name_Hall 'F -4 2 3'
_cell_length_a 6.746
_cell_length_b 6.746
_cell_length_c 6.746
_cell_angle_alpha 90.00
_cell_angle_beta 90.00
_cell_angle_gamma 90.00
loop_
_atom_site_label
_atom_site_fract_x
_atom_site_fract_y
_atom_site_fract_z
_atom_site_occupancy
Ba1 0.000 0.000 0.000 1
Cu1 0.000 0.000 0.500 1
Ir1 0.250 0.250 0.750 1


Entry 3:
# CaPr2Cu9, optimized geometry, DFT PBE-GGA
# formation enthalpy at 0 K: -129.5 kJ/mol of formula units
data_CaPr2Cu9
_symmetry_space_group_name_H-M 'R -3 m'
_symmetry_Int_Tables_number 166
_symmetry_space_group_name_Hall '-R 3 2"'
_cell_length_a 5.2472
_cell_length_b 5.2472
_cell_length_c 25.4101
_cell_angle_alpha 90.00
_cell_angle_beta 90.00
_cell_angle_gamma 120.00
loop_
_atom_site_label
_atom_site_fract_x
_atom_site_fract_y
_atom_site_fract_z
_atom_site_occupancy
Ca1 0.0000 0.0000 0.0000 1
Pr1 0.0000 0.0000 0.1403 1
Cu1 0.0000 0.0000 0.3321 1
Cu2 0.0000 0.0000 0.5000 1
Cu3 0.0031 0.5015 0.0798 1


Entry 4:
# Tb3Nd4Pd4, optimized geometry, DFT PBE-GGA
# formation enthalpy at 0 K: -547.1 kJ/mol of formula units
data_Tb3Nd4Pd4
_symmetry_space_group_name_H-M 'I m m m'
_symmetry_Int_Tables_number 71
_symmetry_space_group_name_Hall '-I 2 2'
_cell_length_a 3.874
_cell_length_b 9.662
_cell_length_c 15.867
_cell_angle_alpha 90.00
_cell_angle_beta 90.00
_cell_angle_gamma 90.00
loop_
_atom_site_label
_atom_site_fract_x
_atom_site_fract_y
_atom_site_fract_z
_atom_site_occupancy
Tb1 0.000 0.000 0.000 1
Tb2 0.000 0.500 0.111 1
Nd1 0.000 0.313 0.342 1
Pd1 0.000 0.000 0.243 1
Pd2 0.000 0.151 0.500 1


Entry 5:
# CdTcAs, optimized geometry, DFT PBE-GGA
# relative energy among the computed polymorphs: 0.0000 eV/atom
# formation enthalpy at 0 K: -10.2 kJ/mol of formula units
data_CdTcAs
_symmetry_space_group_name_H-M 'P 4/n m m'
_symmetry_Int_Tables_number 129
_cell_length_a 4.294
_cell_length_b 4.294
_cell_length_c 6.108
_cell_angle_alpha 90.00
_cell_angle_beta 90.00
_cell_angle_gamma 90.00
loop_
_symmetry_equiv_pos_as_xyz
'x,y,z'
'-x,-y,-z'
'-y+1/2,x,z'
'y+1/2,-x,-z'
'-x+1/2,-y+1/2,z'
'x+1/2,y+1/2,-z'
'y,-x+1/2,z'
'-y,x+1/2,-z'
'x+1/2,-y,-z'
'-x+1/2,y,z'
'-y,-x,-z'
'y,x,z'
'-x,y+1/2,-z'
'x,-y+1/2,z'
'y+1/2,x+1/2,-z'
'-y+1/2,-x+1/2,z'
loop_
_atom_site_label
_atom_site_fract_x
_atom_site_fract_y
_atom_site_fract_z
_atom_site_occupancy
Cd1 0.250 0.250 0.165 1
Tc1 0.250 0.750 0.500 1
As1 0.250 0.250 0.720 1


Entry 6:
# NaY2Co, optimized geometry, DFT PBE-GGA
# relative energy among the computed polymorphs: 0.0799 eV/atom
# formation enthalpy at 0 K: 23.3 kJ/mol of formula units
data_NaY2Co
_symmetry_space_group_name_H-M 'R -3 m'
_symmetry_Int_Tables_number 166
_symmetry_space_group_name_Hall '-R 3 2"'
_cell_length_a 3.8167
_cell_length_b 3.8167
_cell_length_c 30.8743
_cell_angle_alpha 90.00
_cell_angle_beta 90.00
_cell_angle_gamma 120.00
loop_
_atom_site_label
_atom_site_fract_x
_atom_site_fract_y
_atom_site_fract_z
_atom_site_occupancy
Na1 0.0000 0.0000 0.0000 1
Y1 0.0000 0.0000 0.1193 1
Co1 0.0000 0.0000 0.5000 1


Entry 7:
# Dy2ThMnC4, optimized geometry, DFT PBE-GGA
# formation enthalpy at 0 K: -86.0 kJ/mol of formula units
data_Dy2ThMnC4
_symmetry_space_group_name_H-M 'C m c m'
_symmetry_Int_Tables_number 63
_symmetry_space_group_name_Hall '-C 2c 2'
_cell_length_a 3.485
_cell_length_b 11.818
_cell_length_c 11.927
_cell_angle_alpha 90.00
_cell_angle_beta 90.00
_cell_angle_gamma 90.00
loop_
_atom_site_label
_atom_site_fract_x
_atom_site_fract_y
_atom_site_fract_z
_atom_site_occupancy
Dy1 0.000 0.132 0.045 1
Th1 0.000 0.412 0.250 1
Mn1 0.000 0.325 0.750 1
C1 0.000 0.090 0.250 1
C2 0.000 0.232 0.636 1
C3 0.000 0.500 0.000 1


Entry 8:
# InGa2B2Rh5, optimized geometry, DFT PBE-GGA
# formation enthalpy at 0 K: -318.7 kJ/mol of formula units
data_InGa2B2Rh5
_symmetry_space_group_name_H-M 'P 4/m b m'
_symmetry_Int_Tables_number 127
_symmetry_space_group_name_Hall '-P 4 2ab'
_cell_length_a 9.558
_cell_length_b 9.558
_cell_length_c 2.989
_cell_angle_alpha 90.00
_cell_angle_beta 90.00
_cell_angle_gamma 90.00
loop_
_atom_site_label
_atom_site_fract_x
_atom_site_fract_y
_atom_site_fract_z
_atom_site_occupancy
In1 0.000 0.000 0.000 1
Ga1 0.177 0.323 0.000 1
B1 0.124 0.624 0.000 1
Rh1 0.000 0.500 0.500 1
Rh2 0.077 0.779 0.500 1